No. 1
Li2Te2O5: optimized geometry, GGA-PBE.

The structure in POSCAR format:
```
Li2Te2O5
1.0
10.6421 0.0000 0.0000
0.0000 4.9204 0.0000
-6.6041 0.0000 10.3422
Li Te O
8 8 20
Direct
0.0763 0.1759 0.3234
0.0763 0.3241 0.8234
0.0758 0.7032 0.9907
0.0758 0.7968 0.4907
0.9242 0.2032 0.5093
0.9242 0.2968 0.0093
0.9237 0.6759 0.1766
0.9237 0.8241 0.6766
0.2961 0.1792 0.1479
0.2961 0.3208 0.6479
0.2974 0.6664 0.3737
0.2974 0.8336 0.8737
0.7026 0.1664 0.1263
0.7026 0.3336 0.6263
0.7039 0.6792 0.3521
0.7039 0.8208 0.8521
0.1108 0.2109 0.5047
0.1108 0.2891 0.0047
0.1107 0.7299 0.8436
0.1107 0.7701 0.3436
0.2284 0.1749 0.7860
0.2284 0.3251 0.2860
0.2350 0.6706 0.6681
0.2350 0.8294 0.1681
0.3760 0.0163 0.0444
0.3760 0.4837 0.5444
0.6240 0.5163 0.4556
0.6240 0.9837 0.9556
0.7650 0.1706 0.8319
0.7650 0.3294 0.3319
0.7716 0.6749 0.7140
0.7716 0.8251 0.2140
0.8893 0.2299 0.6564
0.8893 0.2701 0.1564
0.8892 0.7109 0.9953
0.8892 0.7891 0.4953
```

Computed properties:
The value obtained for the formation energy from raw total energies is -1458 meV per atom. For the energy above the lowest structure with this stoichiometry, the calculation gives 0 meV per atom. Its space group is P2_1/c. As for the magnetic moment: 0.00 μB per formula unit.

No. 2
Li2TeO3: optimized geometry, GGA-PBE.

The structure in POSCAR format:
```
Li2TeO3
1.0
4.3929 0.0000 0.0000
0.0000 9.7872 0.0000
0.0000 0.0000 3.3587
Li Te O
4 2 6
Direct
0.0000 0.1538 0.0000
0.0000 0.8462 0.0000
0.5000 0.3462 0.0000
0.5000 0.6538 0.0000
0.0000 0.5000 0.5000
0.5000 0.0000 0.5000
0.0000 0.0000 0.5000
0.0000 0.3540 0.0000
0.0000 0.6460 0.0000
0.5000 0.1460 0.0000
0.5000 0.5000 0.5000
0.5000 0.8540 0.0000
```

Computed properties:
The value obtained for the formation energy from raw total energies is -1442 meV per atom. Its space group is Cmmm. As for the magnetic moment: 0.00 μB per formula unit.

No. 3
Li4TeO5: optimized geometry, GGA-PBE.

The structure in POSCAR format:
```
Li4TeO5
1.0
5.1839 0.0000 0.0000
-1.0841 5.1449 0.0000
-1.6412 -2.7643 7.1748
Li Te O
8 2 10
Direct
0.0000 0.0000 0.0000
0.0771 0.1987 0.6827
0.2049 0.3850 0.3959
0.2743 0.6067 0.1123
0.5000 0.0000 0.5000
0.7257 0.3933 0.8877
0.7951 0.6150 0.6041
0.9229 0.8013 0.3173
0.3910 0.7904 0.7885
0.6090 0.2096 0.2115
0.0758 0.6101 0.8469
0.1638 0.8192 0.5735
0.2822 0.0092 0.2496
0.3679 0.1684 0.9558
0.4487 0.4414 0.6707
0.5513 0.5586 0.3293
0.6321 0.8316 0.0442
0.7178 0.9908 0.7504
0.8362 0.1808 0.4265
0.9242 0.3899 0.1531
```

Computed properties:
The value obtained for the formation energy from raw total energies is -1752 meV per atom. For the energy above the lowest structure with this stoichiometry, the calculation gives 0 meV per atom. Its space group is P-1. As for the magnetic moment: 0.00 μB per formula unit.